(1)
# PmYO4, optimized geometry, DFT GGA-PBE
# electronic total energy	-96.94	eV/cell
# Fermi-level density of states	0.000	states/eV/atom
# ΔE_f (raw)	-2.903	eV/atom
data_PmYO4
_chemical_formula_sum 'Pm2 Y2 O8'
_cell_length_a 6.700
_cell_length_b 3.915
_cell_length_c 6.377
_cell_angle_alpha 90.00
_cell_angle_beta 97.50
_cell_angle_gamma 90.00
_symmetry_space_group_name_H-M 'C 1 m 1'
_symmetry_Int_Tables_number 8
_symmetry_space_group_name_Hall 'C -2y'
loop_
_atom_site_label
_atom_site_type_symbol
_atom_site_fract_x
_atom_site_fract_y
_atom_site_fract_z
Pm1 Pm 0.000 0.000 0.000
Y1 Y 0.113 0.500 0.540
O1 O 0.155 0.500 0.906
O2 O 0.219 0.000 0.344
O3 O 0.388 0.000 0.210
O4 O 0.455 0.500 0.620

(2)
# NiGeRu, optimized geometry, DFT GGA-PBE
# electronic total energy	-79.73	eV/cell
# Fermi-level density of states	0.860	states/eV/atom
# calculated formation energy	-0.09	eV/atom
data_NiGeRu
_chemical_formula_sum 'Ni4 Ge4 Ru4'
_cell_length_a 9.211
_cell_length_b 2.856
_cell_length_c 6.382
_cell_angle_alpha 90.00
_cell_angle_beta 101.79
_cell_angle_gamma 90.00
_symmetry_space_group_name_H-M 'C 1 m 1'
_symmetry_Int_Tables_number 8
_symmetry_space_group_name_Hall 'C -2y'
loop_
_atom_site_label
_atom_site_type_symbol
_atom_site_fract_x
_atom_site_fract_y
_atom_site_fract_z
Ni1 Ni 0.000 0.000 0.000
Ni2 Ni 0.030 0.500 0.674
Ge1 Ge 0.304 0.500 0.698
Ge2 Ge 0.437 0.000 0.289
Ru1 Ru 0.173 0.000 0.392
Ru2 Ru 0.228 0.500 0.058

(3)
# LaCoMo, optimized geometry, DFT GGA-PBE
# electronic total energy	-43.91	eV/cell
# Fermi-level density of states	1.525	states/eV/atom
# energy above the lowest structure with this stoichiometry	215	meV/atom
# calculated formation energy	0.30	eV/atom
data_LaCoMo
_chemical_formula_sum 'La2 Co2 Mo2'
_cell_length_a 3.126
_cell_length_b 3.126
_cell_length_c 11.771
_cell_angle_alpha 90.00
_cell_angle_beta 90.00
_cell_angle_gamma 90.00
_symmetry_space_group_name_H-M 'I 4 m m'
_symmetry_Int_Tables_number 107
_symmetry_space_group_name_Hall 'I 4 -2'
loop_
_atom_site_label
_atom_site_type_symbol
_atom_site_fract_x
_atom_site_fract_y
_atom_site_fract_z
La1 La 0.000 0.000 0.000
Co1 Co 0.000 0.000 0.698
Mo1 Mo 0.000 0.000 0.292

(4)
# HoZnSn, optimized geometry, DFT GGA-PBE
# electronic total energy	-46.21	eV/cell
# Fermi-level density of states	0.150	states/eV/atom
# calculated formation energy	-0.57	eV/atom
data_HoZnSn
_chemical_formula_sum 'Ho4 Zn4 Sn4'
_cell_length_a 4.4971
_cell_length_b 4.4971
_cell_length_c 15.7790
_cell_angle_alpha 90.00
_cell_angle_beta 90.00
_cell_angle_gamma 120.00
_symmetry_space_group_name_H-M 'P 63/m m c'
_symmetry_Int_Tables_number 194
_symmetry_space_group_name_Hall '-P 6c 2c'
loop_
_atom_site_label
_atom_site_type_symbol
_atom_site_fract_x
_atom_site_fract_y
_atom_site_fract_z
Ho1 Ho 0.0000 0.0000 0.0000
Ho2 Ho 0.0000 0.0000 0.2500
Zn1 Zn 0.3333 0.6667 0.1611
Sn1 Sn 0.3333 0.6667 0.6129

(5)
# PrDy2TmSc4, optimized geometry, DFT GGA-PBE
# electronic total energy	-161.17	eV/cell
# Fermi-level density of states	2.186	states/eV/atom
# calculated formation energy	0.44	eV/atom
data_PrDy2TmSc4
_chemical_formula_sum 'Pr4 Dy8 Tm4 Sc16'
_cell_length_a 13.044
_cell_length_b 12.676
_cell_length_c 6.534
_cell_angle_alpha 90.00
_cell_angle_beta 120.06
_cell_angle_gamma 90.00
_symmetry_space_group_name_H-M 'C 1 2/c 1'
_symmetry_Int_Tables_number 15
_symmetry_space_group_name_Hall '-C 2yc'
loop_
_atom_site_label
_atom_site_type_symbol
_atom_site_fract_x
_atom_site_fract_y
_atom_site_fract_z
Pr1 Pr 0.000 0.000 0.000
Dy1 Dy 0.000 0.500 0.000
Dy2 Dy 0.250 0.250 0.000
Tm1 Tm 0.250 0.250 0.500
Sc1 Sc 0.000 0.252 0.001
Sc2 Sc 0.248 0.499 0.497

(6)
# Dy5Mg2OsRu2, optimized geometry, DFT GGA-PBE
# electronic total energy	-115.59	eV/cell
# Fermi-level density of states	0.694	states/eV/atom
# calculated formation energy	-0.18	eV/atom
data_Dy5Mg2OsRu2
_chemical_formula_sum 'Dy10 Mg4 Os2 Ru4'
_cell_length_a 11.698
_cell_length_b 11.698
_cell_length_c 3.486
_cell_angle_alpha 90.00
_cell_angle_beta 90.00
_cell_angle_gamma 90.00
_symmetry_space_group_name_H-M 'P 4/m b m'
_symmetry_Int_Tables_number 127
_symmetry_space_group_name_Hall '-P 4 2ab'
loop_
_atom_site_label
_atom_site_type_symbol
_atom_site_fract_x
_atom_site_fract_y
_atom_site_fract_z
Dy1 Dy 0.000 0.500 0.000
Dy2 Dy 0.056 0.197 0.000
Mg1 Mg 0.190 0.690 0.500
Os1 Os 0.000 0.000 0.500
Ru1 Ru 0.135 0.365 0.500

(7)
# Li3SbAu2, optimized geometry, DFT GGA-PBE
# electronic total energy	-38.69	eV/cell
# Fermi-level density of states	0.204	states/eV/atom
# ΔE_f (raw)	-0.488	eV/atom
data_Li3SbAu2
_chemical_formula_sum 'Li6 Sb2 Au4'
_cell_length_a 4.187
_cell_length_b 12.641
_cell_length_c 3.859
_cell_angle_alpha 90.00
_cell_angle_beta 90.00
_cell_angle_gamma 90.00
_symmetry_space_group_name_H-M 'C m m m'
_symmetry_Int_Tables_number 65
_symmetry_space_group_name_Hall '-C 2 2'
loop_
_atom_site_label
_atom_site_type_symbol
_atom_site_fract_x
_atom_site_fract_y
_atom_site_fract_z
Li1 Li 0.000 0.000 0.000
Li2 Li 0.000 0.329 0.000
Sb1 Sb 0.000 0.500 0.500
Au1 Au 0.000 0.169 0.500

(8)
# Dy2Mg2Ni15, optimized geometry, DFT GGA-PBE
# electronic total energy	-310.92	eV/cell
# Fermi-level density of states	1.204	states/eV/atom
# calculated formation energy	-0.24	eV/atom
data_Dy2Mg2Ni15
_chemical_formula_sum 'Dy6 Mg6 Ni45'
_cell_length_a 8.3676
_cell_length_b 8.3676
_cell_length_c 12.3175
_cell_angle_alpha 90.00
_cell_angle_beta 90.00
_cell_angle_gamma 120.00
_symmetry_space_group_name_H-M 'R -3 m'
_symmetry_Int_Tables_number 166
_symmetry_space_group_name_Hall '-R 3 2"'
loop_
_atom_site_label
_atom_site_type_symbol
_atom_site_fract_x
_atom_site_fract_y
_atom_site_fract_z
Dy1 Dy 0.0000 0.0000 0.1487
Mg1 Mg 0.0000 0.0000 0.3969
Ni1 Ni 0.0000 0.3031 0.5000
Ni2 Ni 0.0000 0.5000 0.0000
Ni3 Ni 0.0034 0.5017 0.6557

Which value of electronic total energy does entry 5 give?
-161.17 eV/cell

Look up the Fermi-level density of states of the seventh one.
0.204 states/eV/atom

Which formula does entry 8 have?
Dy2Mg2Ni15